No. 1
Here is an optimized crystal structure of Nd2PBr2 from Alexandria. Energies are from PBE.

DOS(E_F) = 0.388 states/eV per atom
density = 4.9 Mg/m³
uncorrected formation energy = -1768 meV per atom
space group = R-3m (166)
total energy = -5.4264 eV per atom

Unit cell a=4.1634 b=4.1634 c=11.0535 alpha=79.14 beta=79.14 gamma=60.00
Last column: nearest neighbours and their distance in Å.
Positions (direct):
P: 0.0000 0.0000 0.0000  6 Nd 2.88
Nd: 0.6174 0.6174 0.1478  3 P 2.88, 3 Br 3.05
Br: 0.7737 0.7737 0.6790  3 Nd 3.05
Nd: 0.3826 0.3826 0.8522  3 P 2.88, 3 Br 3.05
Br: 0.2263 0.2263 0.3210  3 Nd 3.05

***

No. 2
Here is an optimized crystal structure of TaInMo2S from Alexandria. Energies are from PBE.

DOS(E_F) = 1.222 states/eV per atom
density = 7.0 Mg/m³
uncorrected formation energy = 1300 meV per atom
space group = P4/mmm (123)
total energy = -6.7760 eV per atom

Unit cell a=5.1431 b=4.6909 c=5.1431 alpha=90.00 beta=90.00 gamma=90.00
Last column: nearest neighbours and their distance in Å.
Positions (direct):
Mo: 0.0000 0.0000 0.5000  2 Ta 2.57
Ta: 0.0000 0.0000 0.0000  2 S 2.35, 4 Mo 2.57
Mo: 0.5000 0.0000 0.0000  2 Ta 2.57
S: 0.0000 0.5000 0.0000  2 Ta 2.35
In: 0.5000 0.5000 0.5000  8 Mo 3.48, 4 S 3.64